5
Lattice="3.806 0.000 0.000 0.000 4.221 0.000 0.000 0.000 3.806" Properties=species:S:1:pos:R:3 comment="SiB2SbN (PBE, relaxed)" vol_a3_per_cell=61.14 raw_formation_energy_ev_per_atom=1.54 pbc="T T T"
B 0.000 0.000 1.903
B 1.903 0.000 0.000
Si 0.000 2.110 0.000
N 0.000 0.000 0.000
Sb 1.903 2.110 1.903



5
Lattice="-3.464 1.338 2.995 1.893 -2.742 3.414 2.582 3.535 1.408" Properties=species:S:1:pos:R:3 comment="BSb2TeN (PBE, relaxed)" vol_a3_per_cell=104.65 raw_formation_energy_ev_per_atom=1.39 pbc="T T T"
N 0.000 0.000 0.000
Sb 0.946 -1.371 1.707
Sb -1.732 0.669 1.497
B 0.505 1.066 3.908
Te 1.291 1.768 0.704



5
Lattice="-3.319 2.404 -2.261 -2.020 -0.918 1.989 0.907 3.748 2.652" Properties=species:S:1:pos:R:3 comment="Ti2BSbN (PBE, relaxed)" vol_a3_per_cell=65.26 raw_formation_energy_ev_per_atom=-0.20 pbc="T T T"
B -1.010 -0.459 0.994
Sb -2.216 2.617 1.190
N 0.000 0.000 0.000
Ti 0.454 1.874 1.326
Ti -1.659 1.202 -1.131



5
Lattice="3.883 0.000 0.000 0.000 5.539 0.000 0.000 0.000 3.883" Properties=species:S:1:pos:R:3 comment="VBSbN2 (PBE, relaxed)" vol_a3_per_cell=83.50 raw_formation_energy_ev_per_atom=2.37 pbc="T T T"
N 0.000 0.000 1.941
N 1.941 0.000 0.000
Sb 0.000 0.000 0.000
V 0.000 2.769 0.000
B 1.941 2.769 1.941



4
Lattice="-5.803 -0.716 1.358 -4.501 -2.523 3.067 -4.673 0.192 3.762" Properties=species:S:1:pos:R:3 comment="ScBN2 (PBE, relaxed)" vol_a3_per_cell=39.45 raw_formation_energy_ev_per_atom=0.81 pbc="T T T"
N -13.191 -2.684 7.211
N -1.786 -0.363 0.976
B -7.488 -1.523 4.094
Sc 0.000 0.000 0.000



8
Lattice="-1.121 -4.210 -2.030 4.433 -0.297 -1.834 2.587 -3.699 0.552" Properties=species:S:1:pos:R:3 comment="ScBN2 (PBE, relaxed)" vol_a3_per_cell=69.79 raw_formation_energy_ev_per_atom=-1.11 pbc="T T T"
B 1.656 -2.253 -1.932
B 4.337 -3.124 -1.607
N 3.170 -2.039 -1.456
N 3.605 -4.492 -1.210
N 4.414 -6.689 -2.791
N 0.607 -3.190 -1.166
Sc 1.560 -5.081 -1.705
Sc 0.000 0.000 0.000



6
Lattice="3.635 0.000 0.000 1.818 3.148 0.000 1.818 1.049 5.691" Properties=species:S:1:pos:R:3 comment="ScBN (PBE, relaxed)" vol_a3_per_cell=65.14 raw_formation_energy_ev_per_atom=-1.01 pbc="T T T"
B 5.453 3.148 3.172
B 1.818 1.049 2.519
Sc 3.635 2.099 4.492
Sc 3.635 2.099 1.199
N 5.453 3.148 4.687
N 1.818 1.049 1.004



14
Lattice="4.690 0.000 0.000 0.000 4.690 0.000 0.000 0.000 4.690" Properties=species:S:1:pos:R:3 comment="ScB3N3 (PBE, relaxed)" vol_a3_per_cell=103.15 raw_formation_energy_ev_per_atom=0.13 pbc="T T T"
B 2.345 3.517 0.000
B 3.517 0.000 2.345
B 2.345 1.172 0.000
B 1.172 0.000 2.345
B 0.000 2.345 3.517
B 0.000 2.345 1.172
N 0.000 3.517 2.345
N 3.517 2.345 0.000
N 1.172 2.345 0.000
N 0.000 1.172 2.345
N 2.345 0.000 3.517
N 2.345 0.000 1.172
Sc 0.000 0.000 0.000
Sc 2.345 2.345 2.345



5
Lattice="-0.894 4.045 0.440 -3.967 -0.967 0.828 0.906 -0.241 4.060" Properties=species:S:1:pos:R:3 comment="ScBN3 (PBE, relaxed)" vol_a3_per_cell=72.32 raw_formation_energy_ev_per_atom=2.18 pbc="T T T"
N 0.453 -0.121 2.030
N -0.447 2.023 0.220
N -1.984 -0.483 0.414
Sc 0.000 0.000 0.000
B -1.978 1.419 2.664



5
Lattice="4.554 0.000 0.000 0.000 4.554 0.000 0.000 0.000 4.554" Properties=species:S:1:pos:R:3 comment="ScB3N (PBE, relaxed)" vol_a3_per_cell=94.44 raw_formation_energy_ev_per_atom=3.17 pbc="T T T"
B 2.277 0.000 0.000
B 0.000 2.277 0.000
B 0.000 0.000 2.277
Sc 0.000 0.000 0.000
N 2.277 2.277 2.277



5
Lattice="-0.624 -3.065 -1.832 -1.672 -1.393 2.900 -3.156 1.344 -1.174" Properties=species:S:1:pos:R:3 comment="ScB3N (PBE, relaxed)" vol_a3_per_cell=47.65 raw_formation_energy_ev_per_atom=1.36 pbc="T T T"
B -1.578 0.672 -0.587
B -0.836 -0.697 1.450
B -0.312 -1.533 -0.916
Sc -2.726 -1.557 -0.053
N 0.000 0.000 0.000



5
Lattice="-0.895 3.233 0.559 -2.624 -1.053 1.889 1.969 0.066 2.772" Properties=species:S:1:pos:R:3 comment="ScBN3 (PBE, relaxed)" vol_a3_per_cell=39.32 raw_formation_energy_ev_per_atom=0.35 pbc="T T T"
N -0.447 1.616 0.279
N 0.985 0.033 1.386
N -1.312 -0.526 0.945
Sc -0.775 1.123 2.610
B 0.000 0.000 0.000



8
Lattice="1.677 -2.904 0.000 1.677 2.904 0.000 0.000 0.000 9.823" Properties=species:S:1:pos:R:3 comment="ScBN2 (PBE, relaxed)" vol_a3_per_cell=95.67 raw_formation_energy_ev_per_atom=-1.35 pbc="T T T"
Sc 0.000 0.000 0.000
Sc 0.000 0.000 4.911
N 1.677 -0.968 1.117
N 1.677 0.968 6.028
N 1.677 0.968 8.705
N 1.677 -0.968 3.794
B 1.677 -0.968 2.456
B 1.677 0.968 7.367



4
Lattice="-4.879 -0.893 1.815 -2.732 -2.777 3.566 -3.065 0.480 4.274" Properties=species:S:1:pos:R:3 comment="ScBN2 (PBE, relaxed)" vol_a3_per_cell=47.75 raw_formation_energy_ev_per_atom=-1.35 pbc="T T T"
N -0.969 -0.290 0.876
N -9.707 -2.901 8.778
Sc -5.338 -1.595 4.827
B 0.000 0.000 0.000



5
Lattice="-1.324 -2.971 1.034 1.349 -1.550 -2.725 4.731 -1.080 2.956" Properties=species:S:1:pos:R:3 comment="ScBSeN2 (PBE, relaxed)" vol_a3_per_cell=66.20 raw_formation_energy_ev_per_atom=0.59 pbc="T T T"
Se 2.366 -0.540 1.478
N -0.662 -1.486 0.517
N 0.675 -0.775 -1.363
Sc 2.378 -2.800 0.632
B 0.000 0.000 0.000



5
Lattice="-0.086 2.187 -4.739 -2.433 -4.210 -1.898 -3.669 1.730 0.865" Properties=species:S:1:pos:R:3 comment="ScBSe2N (PBE, relaxed)" vol_a3_per_cell=112.99 raw_formation_energy_ev_per_atom=0.98 pbc="T T T"
Se -0.043 1.093 -2.369
Se -1.216 -2.105 -0.949
B -3.094 -0.146 -2.886
N -1.834 0.865 0.433
Sc 0.000 0.000 0.000



5
Lattice="-0.983 -3.627 1.300 3.403 -1.446 -1.462 2.583 1.075 4.951" Properties=species:S:1:pos:R:3 comment="ScBSeN2 (PBE, relaxed)" vol_a3_per_cell=89.91 raw_formation_energy_ev_per_atom=1.47 pbc="T T T"
N -0.491 -1.813 0.650
N 1.702 -0.723 -0.731
B 2.502 -1.999 2.395
Sc 0.000 0.000 0.000
Se 1.292 0.537 2.476



5
Lattice="-1.208 5.266 -0.693 -4.354 -1.389 -2.964 -1.523 -0.052 2.263" Properties=species:S:1:pos:R:3 comment="ScBSe2N (PBE, relaxed)" vol_a3_per_cell=80.94 raw_formation_energy_ev_per_atom=-0.30 pbc="T T T"
N -0.762 -0.026 1.131
B 0.000 0.000 0.000
Se -0.604 2.633 -0.347
Se -2.177 -0.695 -1.482
Sc -3.543 1.913 -0.697



12
Lattice="-1.687 2.440 -4.602 1.228 -5.336 -0.022 -5.835 -1.348 1.424" Properties=species:S:1:pos:R:3 comment="Sm3ScB2N6 (PBE, relaxed)" vol_a3_per_cell=159.84 raw_formation_energy_ev_per_atom=-1.26 pbc="T T T"
N -5.355 0.062 -2.749
N -1.711 -3.193 -2.553
N -0.940 -4.307 -0.451
N -1.501 -1.869 -0.441
N -4.584 -1.052 -0.646
N -4.794 -2.375 -2.759
Sm -3.605 -3.636 -0.606
Sm -2.689 -0.608 -2.594
Sm 0.000 0.000 0.000
B -1.215 -3.084 -1.189
B -5.080 -1.161 -2.010
Sc -2.918 -0.674 0.712



5
Lattice="-1.619 -5.458 1.716 3.544 0.443 4.754 -2.118 1.093 1.477" Properties=species:S:1:pos:R:3 comment="ScBTe2N (PBE, relaxed)" vol_a3_per_cell=99.13 raw_formation_energy_ev_per_atom=-0.07 pbc="T T T"
Sc -0.096 -1.961 3.974
Te 1.772 0.222 2.377
Te -0.810 -2.729 0.858
N -1.059 0.546 0.738
B 0.000 0.000 0.000